KSrGaH6 PBE optimized geometry; volume = 148 Å³/cell; DFT total energy = -0.1105 hartree per atom; spin magnetization = 0.00 μB/cell; symmetry = No. 149
1.0
5.6713 0.0011 0.0000
2.8367 4.9109 0.0001
0.0001 -0.0001 5.3247
H Sr Ga K
6 1 1 1
direct
0.5847 0.0737 0.3035
0.5844 0.3419 0.6968
0.0738 0.3416 0.3033
0.3417 0.5845 0.3033
0.0736 0.5847 0.6965
0.3417 0.0738 0.6968
0.6666 0.6666 0.4999
0.3333 0.3334 0.5000
0.9999 0.9999 0.9999